Compound: YPuHgGe
Source: the Alexandria database
Functional: GGA-PBE
Structure: optimized geometry

## Properties
- SG: F-43m, No. 216

abc: 5.190 5.190 5.190
angles: 60.00 60.00 60.00
Fractional positions:
Y1 0.250 0.250 0.250
Ge1 0.500 0.500 0.500
Hg1 0.000 0.000 0.000
Pu1 0.750 0.750 0.750


Compound: Rb2HgGe2
Source: the Alexandria database
Functional: GGA-PBE
Structure: optimized geometry

## Properties
- SG: P4/mbm, No. 127
- Energy relative to the lowest polymorph listed for this composition: 44 kJ/mol of formula units

abc: 10.262 10.262 3.761
angles: 90.00 90.00 90.00
Fractional positions:
Ge1 0.081 0.581 0.500
Ge2 0.581 0.919 0.500
Ge3 0.919 0.419 0.500
Ge4 0.419 0.081 0.500
Hg1 0.000 0.000 0.000
Hg2 0.500 0.500 0.000
Rb1 0.293 0.793 0.000
Rb2 0.793 0.707 0.000
Rb3 0.707 0.207 0.000
Rb4 0.207 0.293 0.000


Magnetization readings, ordered: 6.6; 0.0 Bohr magnetons per cell
ΔE_f readings, ordered: -401; 84 meV/atom